Version P
The following is a PBE-GGA calculation of a relaxed KZrTe2N crystal, from the Alexandria database.

The density of states at the Fermi level is 3.9 states/eV/f.u. The calculated density comes out at 4.3 Mg/m³. The spin magnetization comes out at 3.559 μB/f.u.

CIF file:
```
data_KZrTe2N
_cell_length_a 5.889
_cell_length_b 5.889
_cell_length_c 4.453
_cell_angle_alpha 90.00
_cell_angle_beta 90.00
_cell_angle_gamma 90.00
_space_group_name_H-M_alt 'P 4/m m m'
_space_group_IT_number 123
_space_group_name_Hall '-P 4 2'
loop_
_atom_site_label
_atom_site_type_symbol
_atom_site_fract_x
_atom_site_fract_y
_atom_site_fract_z
K1 K 0.000 0.000 0.000
Zr1 Zr 0.500 0.500 0.500
Te1 Te 0.000 0.500 0.000
N1 N 0.000 0.000 0.500
```

***

Version Q
The following is a PBE-GGA calculation of a relaxed KZrTe2N crystal, from the Alexandria database.

The density of states at the Fermi level is 2.7 states/eV/f.u. The calculated density comes out at 4.5 Mg/m³. The spin magnetization comes out at 0.000 μB/f.u.

CIF file:
```
data_KZrTe2N
_cell_length_a 6.092
_cell_length_b 6.092
_cell_length_c 3.986
_cell_angle_alpha 90.00
_cell_angle_beta 90.00
_cell_angle_gamma 90.00
_space_group_name_H-M_alt 'P 4/m m m'
_space_group_IT_number 123
_space_group_name_Hall '-P 4 2'
loop_
_atom_site_label
_atom_site_type_symbol
_atom_site_fract_x
_atom_site_fract_y
_atom_site_fract_z
K1 K 0.000 0.000 0.000
Zr1 Zr 0.500 0.500 0.500
Te1 Te 0.000 0.500 0.500
N1 N 0.500 0.500 0.000
```

***

Which structure is the least stable? The one labeled version P.

***

Version P
The following is a PBE-GGA calculation of a relaxed KTiN2 crystal, from the Alexandria database.

The density of states at the Fermi level is 1.7 states/eV/f.u. The calculated density comes out at 3.2 Mg/m³. The spin magnetization comes out at 0.000 μB/f.u.

CIF file:
```
data_KTiN2
_cell_length_a 3.1568
_cell_length_b 3.1568
_cell_length_c 20.7838
_cell_angle_alpha 90.00
_cell_angle_beta 90.00
_cell_angle_gamma 120.00
_space_group_name_H-M_alt 'R -3 m'
_space_group_IT_number 166
_space_group_name_Hall '-R 3 2"'
loop_
_atom_site_label
_atom_site_type_symbol
_atom_site_fract_x
_atom_site_fract_y
_atom_site_fract_z
K1 K 0.0000 0.0000 0.0000
Ti1 Ti 0.0000 0.0000 0.5000
N1 N 0.0000 0.0000 0.1185
```

***

Version Q
The following is a PBE-GGA calculation of a relaxed KTiN2 crystal, from the Alexandria database.

The density of states at the Fermi level is 2.2 states/eV/f.u. The calculated density comes out at 4.0 Mg/m³. The spin magnetization comes out at 0.000 μB/f.u.

CIF file:
```
data_KTiN2
_cell_length_a 5.765
_cell_length_b 5.765
_cell_length_c 5.765
_cell_angle_alpha 90.00
_cell_angle_beta 90.00
_cell_angle_gamma 90.00
_space_group_name_H-M_alt 'F m -3 m'
_space_group_IT_number 225
_space_group_name_Hall '-F 4 2 3'
loop_
_atom_site_label
_atom_site_type_symbol
_atom_site_fract_x
_atom_site_fract_y
_atom_site_fract_z
K1 K 0.000 0.000 0.000
Ti1 Ti 0.000 0.000 0.500
N1 N 0.250 0.250 0.250
```

***

Version R
The following is a PBE-GGA calculation of a relaxed KTiN2 crystal, from the Alexandria database.

The density of states at the Fermi level is 1.6 states/eV/f.u. The calculated density comes out at 2.6 Mg/m³. The spin magnetization comes out at 1.000 μB/f.u.

CIF file:
```
data_KTiN2
_cell_length_a 5.847
_cell_length_b 5.847
_cell_length_c 8.647
_cell_angle_alpha 90.00
_cell_angle_beta 90.00
_cell_angle_gamma 90.00
_space_group_name_H-M_alt 'I -4 2 d'
_space_group_IT_number 122
_space_group_name_Hall 'I -4 2bw'
loop_
_atom_site_label
_atom_site_type_symbol
_atom_site_fract_x
_atom_site_fract_y
_atom_site_fract_z
K1 K 0.000 0.000 0.000
Ti1 Ti 0.000 0.000 0.500
N1 N 0.100 0.250 0.625
```

***

Which structure is the least stable? The one labeled version Q.

***

Version P
The following is a PBE-GGA calculation of a relaxed KTlN2 crystal, from the Alexandria database.

The density of states at the Fermi level is 3.3 states/eV/f.u. The calculated density comes out at 4.2 Mg/m³. The spin magnetization comes out at 0.343 μB/f.u.

CIF file:
```
data_KTlN2
_cell_length_a 4.539
_cell_length_b 20.750
_cell_length_c 4.602
_cell_angle_alpha 90.00
_cell_angle_beta 90.45
_cell_angle_gamma 90.00
_space_group_name_H-M_alt 'C 1 2/c 1'
_space_group_IT_number 15
loop_
_space_group_symop_operation_xyz
'x,y,z'
'-x,-y,-z'
'-x,y,-z+1/2'
'x,-y,z+1/2'
'x+1/2,y+1/2,z'
'-x+1/2,-y+1/2,-z'
'-x+1/2,y+1/2,-z+1/2'
'x+1/2,-y+1/2,z+1/2'
loop_
_atom_site_label
_atom_site_type_symbol
_atom_site_fract_x
_atom_site_fract_y
_atom_site_fract_z
K1 K 0.000 0.085 0.250
Tl1 Tl 0.250 0.250 0.000
N1 N 0.127 0.457 0.250
```

***

Version Q
The following is a PBE-GGA calculation of a relaxed KTlN2 crystal, from the Alexandria database.

The density of states at the Fermi level is 0.4 states/eV/f.u. The calculated density comes out at 4.0 Mg/m³. The spin magnetization comes out at 2.000 μB/f.u.

CIF file:
```
data_KTlN2
_cell_length_a 4.3309
_cell_length_b 4.3309
_cell_length_c 21.0013
_cell_angle_alpha 90.00
_cell_angle_beta 90.00
_cell_angle_gamma 120.00
_space_group_name_H-M_alt 'R -3 m'
_space_group_IT_number 166
_space_group_name_Hall '-R 3 2"'
loop_
_atom_site_label
_atom_site_type_symbol
_atom_site_fract_x
_atom_site_fract_y
_atom_site_fract_z
K1 K 0.0000 0.0000 0.0000
Tl1 Tl 0.0000 0.0000 0.5000
N1 N 0.0000 0.0000 0.4061
```

***

Which structure is the least stable? The one labeled version Q.

***

Version P
The following is a PBE-GGA calculation of a relaxed KTlN2 crystal, from the Alexandria database.

The density of states at the Fermi level is 0.0 states/eV/f.u. The calculated density comes out at 5.3 Mg/m³. The spin magnetization comes out at 2.000 μB/f.u.

CIF file:
```
data_KTlN2
_cell_length_a 6.545
_cell_length_b 6.545
_cell_length_c 7.892
_cell_angle_alpha 90.00
_cell_angle_beta 90.00
_cell_angle_gamma 90.00
_space_group_name_H-M_alt 'I -4 2 d'
_space_group_IT_number 122
_space_group_name_Hall 'I -4 2bw'
loop_
_atom_site_label
_atom_site_type_symbol
_atom_site_fract_x
_atom_site_fract_y
_atom_site_fract_z
K1 K 0.000 0.000 0.000
Tl1 Tl 0.000 0.000 0.500
N1 N 0.182 0.250 0.625
```

***

Version Q
The following is a PBE-GGA calculation of a relaxed KTlN2 crystal, from the Alexandria database.

The density of states at the Fermi level is 1.6 states/eV/f.u. The calculated density comes out at 6.9 Mg/m³. The spin magnetization comes out at 2.159 μB/f.u.

CIF file:
```
data_KTlN2
_cell_length_a 6.380
_cell_length_b 6.380
_cell_length_c 6.380
_cell_angle_alpha 90.00
_cell_angle_beta 90.00
_cell_angle_gamma 90.00
_space_group_name_H-M_alt 'F m -3 m'
_space_group_IT_number 225
_space_group_name_Hall '-F 4 2 3'
loop_
_atom_site_label
_atom_site_type_symbol
_atom_site_fract_x
_atom_site_fract_y
_atom_site_fract_z
K1 K 0.000 0.000 0.000
Tl1 Tl 0.000 0.000 0.500
N1 N 0.250 0.250 0.250
```

***

Version R
The following is a PBE-GGA calculation of a relaxed KTlN2 crystal, from the Alexandria database.

The density of states at the Fermi level is 0.1 states/eV/f.u. The calculated density comes out at 5.4 Mg/m³. The spin magnetization comes out at 2.005 μB/f.u.

CIF file:
```
data_KTlN2
_cell_length_a 3.6474
_cell_length_b 3.6474
_cell_length_c 21.7756
_cell_angle_alpha 90.00
_cell_angle_beta 90.00
_cell_angle_gamma 120.00
_space_group_name_H-M_alt 'R -3 m'
_space_group_IT_number 166
_space_group_name_Hall '-R 3 2"'
loop_
_atom_site_label
_atom_site_type_symbol
_atom_site_fract_x
_atom_site_fract_y
_atom_site_fract_z
K1 K 0.0000 0.0000 0.0000
Tl1 Tl 0.0000 0.0000 0.5000
N1 N 0.0000 0.0000 0.1167
```

***

Which structure is the least stable? The one labeled version Q.

***

Version P
The following is a PBE-GGA calculation of a relaxed K2TlN crystal, from the Alexandria database.

The density of states at the Fermi level is 0.0 states/eV/f.u. The calculated density comes out at 4.6 Mg/m³. The spin magnetization comes out at 0.000 μB/f.u.

CIF file:
```
data_K2TlN
_cell_length_a 7.548
_cell_length_b 7.548
_cell_length_c 7.548
_cell_angle_alpha 90.00
_cell_angle_beta 90.00
_cell_angle_gamma 90.00
_space_group_name_H-M_alt 'F m -3 m'
_space_group_IT_number 225
_space_group_name_Hall '-F 4 2 3'
loop_
_atom_site_label
_atom_site_type_symbol
_atom_site_fract_x
_atom_site_fract_y
_atom_site_fract_z
K1 K 0.250 0.250 0.250
Tl1 Tl 0.000 0.000 0.000
N1 N 0.000 0.000 0.500
```

***

Version Q
The following is a PBE-GGA calculation of a relaxed K2TlN crystal, from the Alexandria database.

The density of states at the Fermi level is 2.3 states/eV/f.u. The calculated density comes out at 3.2 Mg/m³. The spin magnetization comes out at 0.499 μB/f.u.

CIF file:
```
data_K2TlN
_cell_length_a 11.568
_cell_length_b 11.568
_cell_length_c 4.600
_cell_angle_alpha 90.00
_cell_angle_beta 90.00
_cell_angle_gamma 90.00
_space_group_name_H-M_alt 'I -4 2 d'
_space_group_IT_number 122
_space_group_name_Hall 'I -4 2bw'
loop_
_atom_site_label
_atom_site_type_symbol
_atom_site_fract_x
_atom_site_fract_y
_atom_site_fract_z
K1 K 0.052 0.750 0.125
Tl1 Tl 0.000 0.000 0.500
N1 N 0.000 0.000 0.000
```

***

Which structure is the least stable? The one labeled version P.